[1]
Density functional theory data (PBE) for a relaxed Ga2Hg2P crystal.

## Properties
* volume: 109.73 Å³/f.u.
* theoretical density: 8.65 Mg/m³
* ΔH_f (0 K): 0.3954 eV per atom
* Fermi-level density of states: 3.45 states/eV/f.u.

```
Ga2Hg2P
1.0
3.6969 0.0000 0.0000
0.0000 3.6969 0.0000
1.8485 1.8485 8.0286
Hg Ga P
2 2 1
Cartesian
1.8485 1.8485 1.4934 Hg
3.6969 3.6969 6.5353 Hg
1.8485 3.6969 4.0143 Ga
3.6969 1.8485 4.0143 Ga
0.0000 0.0000 0.0000 P
```


[2]
Density functional theory data (PBE) for a relaxed Sm4Si2Pt crystal.

## Properties
* volume: 184.95 Å³/f.u.
* theoretical density: 7.66 Mg/m³
* formation energy without anion corrections: -63.3 kJ per mole of atoms
* Fermi-level density of states: 5.70 states/eV/f.u.

```
Sm4Si2Pt
1.0
4.8771 0.0000 0.0000
2.4386 4.2237 0.0000
2.4386 1.4079 8.9785
Si Sm Pt
2 4 1
Cartesian
2.4386 1.4079 6.4991 Si
7.3157 4.2237 2.4794 Si
7.3157 4.2237 5.4822 Sm
2.4386 1.4079 3.4963 Sm
4.8771 2.8158 7.7795 Sm
4.8771 2.8158 1.1991 Sm
0.0000 0.0000 0.0000 Pt
```


[3]
Density functional theory data (PBE) for a relaxed Y8CoIr2 crystal.

## Properties
* volume: 313.77 Å³/f.u.
* theoretical density: 6.11 Mg/m³
* ΔH_f (0 K): -0.3742 eV per atom
* Fermi-level density of states: 10.12 states/eV/f.u.

```
Y8CoIr2
1.0
6.3394 0.2730 1.3183
1.1382 6.8529 2.3829
0.4069 -0.0670 7.3326
Y Ir Co
8 2 1
Cartesian
1.8834 0.3712 5.1760 Y
1.8358 0.9802 1.6416 Y
5.6167 3.0758 5.1300 Y
5.5664 2.5742 8.8001 Y
6.0487 6.0788 9.3922 Y
2.3181 4.4848 2.2338 Y
6.0011 6.6877 5.8578 Y
2.2678 3.9832 5.9038 Y
4.5675 4.7693 7.3426 Ir
3.3170 2.2897 3.6912 Ir
0.0000 0.0000 0.0000 Co
```